Entry from Alexandria via LeMat-Bulk: a relaxed structure of Rb2HgGe2 (PBE-GGA).

abc: 9.0637 9.0637 5.0365
angles: 90.00 90.00 90.00
Atoms (fractional coordinates):
Rb 0.1997 0.3003 0.0000
Rb 0.3003 0.8003 0.0000
Rb 0.6997 0.1997 0.0000
Rb 0.8003 0.6997 0.0000
Hg 0.0000 0.0000 0.5000
Hg 0.5000 0.5000 0.5000
Ge 0.0883 0.5883 0.5000
Ge 0.4117 0.0883 0.5000
Ge 0.5883 0.9117 0.5000
Ge 0.9117 0.4117 0.5000

Computed properties:
Formation energy from the elements: -0.008 eV per atom
Symmetry: No. 127
Size of the total moment: 0.0 μB per cell
Energy above the most stable polymorph in this dataset: 0 meV per atom

***

Entry from Alexandria via LeMat-Bulk: a relaxed structure of RbHg2Ge (PBE-GGA).

abc: 9.8771 9.8771 9.8771
angles: 144.35 144.35 51.30
Atoms (fractional coordinates):
Rb 0.0000 0.0000 0.0000
Rb 0.7500 0.2500 0.5000
Hg 0.3734 0.1250 0.7484
Hg 0.3750 0.6266 0.7516
Hg 0.3766 0.6250 0.2516
Hg 0.8750 0.6234 0.2484
Ge 0.2500 0.7500 0.5000
Ge 0.5000 0.5000 0.0000

Computed properties:
Formation energy from the elements: -0.012 eV per atom
Symmetry: No. 122
Size of the total moment: 0.0 μB per cell

***

Entry from Alexandria via LeMat-Bulk: a relaxed structure of Rb3HgGe (PBE-GGA).

abc: 10.8278 10.8278 10.8189
angles: 94.83 94.83 22.66
Atoms (fractional coordinates):
Rb 0.0508 0.0508 0.1827
Rb 0.2526 0.2526 0.8064
Rb 0.3954 0.3954 0.4394
Rb 0.6046 0.6046 0.5606
Rb 0.7474 0.7474 0.1936
Rb 0.9492 0.9492 0.8173
Hg 0.3955 0.3955 0.0822
Hg 0.6045 0.6045 0.9178
Ge 0.2233 0.2233 0.4545
Ge 0.7767 0.7767 0.5455

Computed properties:
Formation energy from the elements: -0.082 eV per atom
Symmetry: No. 12
Size of the total moment: 0.0 μB per cell
Energy above the most stable polymorph in this dataset: 0 meV per atom

***

Entry from Alexandria via LeMat-Bulk: a relaxed structure of RbHgGe (PBE-GGA).

abc: 7.6200 7.6200 8.5170
angles: 123.82 123.82 31.42
Atoms (fractional coordinates):
Rb 0.0000 0.0000 0.0000
Rb 0.1347 0.1347 0.6364
Hg 0.4117 0.4117 0.2542
Hg 0.7248 0.7248 0.0674
Ge 0.3795 0.3795 0.5487
Ge 0.7530 0.7530 0.4222

Computed properties:
Formation energy from the elements: -0.135 eV per atom
Symmetry: No. 8
Size of the total moment: 0.0 μB per cell
Energy above the most stable polymorph in this dataset: 2 meV per atom

***

Entry from Alexandria via LeMat-Bulk: a relaxed structure of Rb2HgGe2 (PBE-GGA).

abc: 6.8743 6.8743 6.8743
angles: 122.21 122.21 86.21
Atoms (fractional coordinates):
Rb 0.2500 0.7500 0.5000
Rb 0.7500 0.2500 0.5000
Hg 0.0000 0.0000 0.0000
Ge 0.3886 0.3886 0.0000
Ge 0.6114 0.6114 0.0000

Computed properties:
Formation energy from the elements: 0.006 eV per atom
Symmetry: No. 139
Size of the total moment: 0.0 μB per cell
Energy above the most stable polymorph in this dataset: 14 meV per atom

***

Entry from Alexandria via LeMat-Bulk: a relaxed structure of RbHgGe (PBE-GGA).

abc: 5.6243 6.3770 6.8970
angles: 105.31 113.90 95.80
Atoms (fractional coordinates):
Rb 0.1419 0.3800 0.2330
Rb 0.8581 0.6200 0.7670
Hg 0.5000 0.0000 0.0000
Hg 0.5000 0.0000 0.5000
Ge 0.1961 0.1621 0.6826
Ge 0.8039 0.8379 0.3174

Computed properties:
Formation energy from the elements: -0.089 eV per atom
Symmetry: No. 2
Size of the total moment: 0.0 μB per cell
Energy above the most stable polymorph in this dataset: 48 meV per atom

***

Entry from Alexandria via LeMat-Bulk: a relaxed structure of Rb2ReHgGe (PBE-GGA).

abc: 6.8983 6.8983 4.7917
angles: 90.00 90.00 90.00
Atoms (fractional coordinates):
Rb 0.0000 0.5000 0.0000
Rb 0.5000 0.0000 0.0000
Re 0.0000 0.0000 0.0000
Hg 0.5000 0.5000 0.5000
Ge 0.0000 0.0000 0.5000

Computed properties:
Formation energy from the elements: 0.750 eV per atom
Symmetry: No. 123
Size of the total moment: 2.5 μB per cell

***

Entry from Alexandria via LeMat-Bulk: a relaxed structure of RbReHg2Ge (PBE-GGA).

abc: 6.3297 6.3297 6.5372
angles: 90.00 90.00 90.00
Atoms (fractional coordinates):
Rb 0.0000 0.0000 0.0000
Re 0.5000 0.5000 0.5000
Hg 0.0000 0.5000 0.0000
Hg 0.5000 0.0000 0.0000
Ge 0.0000 0.0000 0.5000

Computed properties:
Formation energy from the elements: 2.066 eV per atom
Symmetry: No. 123
Size of the total moment: 5.7 μB per cell